No. 1
An optimized crystal structure of CaScSi2, computed with GGA-PBE.

```
data_CaScSi2
_chemical_formula_sum 'Ca1 Sc1 Si2'
_cell_length_a 3.165
_cell_length_b 4.830
_cell_length_c 5.715
_cell_angle_alpha 90.00
_cell_angle_beta 90.00
_cell_angle_gamma 90.00
_symmetry_space_group_name_H-M 'P m m m'
_symmetry_Int_Tables_number 47
loop_
_symmetry_equiv_pos_as_xyz
'x,y,z'
'-x,-y,-z'
'-x,-y,z'
'x,y,-z'
'x,-y,-z'
'-x,y,z'
'-x,y,-z'
'x,-y,z'
loop_
_atom_site_label
_atom_site_fract_x
_atom_site_fract_y
_atom_site_fract_z
_atom_site_occupancy
Ca1 0.000 0.000 0.000 1
Sc1 0.500 0.500 0.500 1
Si1 0.000 0.000 0.500 1
Si2 0.500 0.500 0.000 1
```

Formation energy without anion corrections, meV per atom: -141.7
Distance to the lowest polymorph of the same formula, kJ per mole of atoms: 29.83
V, Å³ per atom: 21.841
Size of the total moment, μB/cell: 0.00



No. 2
An optimized crystal structure of Mg2SbTe, computed with GGA-PBE.

```
data_Mg2SbTe
_chemical_formula_sum 'Mg4 Sb2 Te2'
_cell_length_a 6.598
_cell_length_b 8.214
_cell_length_c 4.211
_cell_angle_alpha 90.00
_cell_angle_beta 111.39
_cell_angle_gamma 90.00
_symmetry_space_group_name_H-M 'C 1 2/m 1'
_symmetry_Int_Tables_number 12
loop_
_symmetry_equiv_pos_as_xyz
'x,y,z'
'-x,-y,-z'
'-x,y,-z'
'x,-y,z'
'x+1/2,y+1/2,z'
'-x+1/2,-y+1/2,-z'
'-x+1/2,y+1/2,-z'
'x+1/2,-y+1/2,z'
loop_
_atom_site_label
_atom_site_fract_x
_atom_site_fract_y
_atom_site_fract_z
_atom_site_occupancy
Mg1 0.250 0.250 0.000 1
Sb1 0.000 0.000 0.500 1
Te1 0.000 0.500 0.500 1
```

Formation energy without anion corrections, meV per atom: -267.0
Distance to the lowest polymorph of the same formula, kJ per mole of atoms: 19.45
V, Å³ per atom: 26.564
Size of the total moment, μB/cell: 0.00



No. 3
An optimized crystal structure of PrPa3S4, computed with GGA-PBE.

```
data_PrPa3S4
_chemical_formula_sum 'Pr2 Pa6 S8'
_cell_length_a 8.145
_cell_length_b 11.162
_cell_length_c 3.808
_cell_angle_alpha 90.00
_cell_angle_beta 90.00
_cell_angle_gamma 90.00
_symmetry_space_group_name_H-M 'C m m m'
_symmetry_Int_Tables_number 65
_symmetry_space_group_name_Hall '-C 2 2'
loop_
_atom_site_label
_atom_site_fract_x
_atom_site_fract_y
_atom_site_fract_z
_atom_site_occupancy
Pr1 0.000 0.000 0.000 1
Pa1 0.000 0.500 0.000 1
Pa2 0.250 0.250 0.500 1
S1 0.000 0.253 0.000 1
S2 0.243 0.500 0.500 1
```

Formation energy without anion corrections, meV per atom: -1672.9
V, Å³ per atom: 21.637
Size of the total moment, μB/cell: 0.06



No. 4
An optimized crystal structure of Pr2Ho3Cd3, computed with GGA-PBE.

```
data_Pr2Ho3Cd3
_chemical_formula_sum 'Pr2 Ho3 Cd3'
_cell_length_a 4.952
_cell_length_b 4.953
_cell_length_c 9.273
_cell_angle_alpha 90.00
_cell_angle_beta 90.00
_cell_angle_gamma 90.00
_symmetry_space_group_name_H-M 'P m m m'
_symmetry_Int_Tables_number 47
loop_
_symmetry_equiv_pos_as_xyz
'x,y,z'
'-x,-y,-z'
'-x,-y,z'
'x,y,-z'
'x,-y,-z'
'-x,y,z'
'-x,y,-z'
'x,-y,z'
loop_
_atom_site_label
_atom_site_fract_x
_atom_site_fract_y
_atom_site_fract_z
_atom_site_occupancy
Pr1 0.000 0.000 0.245 1
Ho1 0.500 0.000 0.500 1
Ho2 0.500 0.500 0.228 1
Cd1 0.000 0.500 0.000 1
Cd2 0.000 0.500 0.500 1
Cd3 0.500 0.000 0.000 1
```

Distance to the lowest polymorph of the same formula, kJ per mole of atoms: 4.22
V, Å³ per atom: 28.429
Size of the total moment, μB/cell: 0.00
Formation energy from the elements, eV/atom: -0.17



No. 5
An optimized crystal structure of BaAlCl3, computed with GGA-PBE.

```
data_BaAlCl3
_chemical_formula_sum 'Ba1 Al1 Cl3'
_cell_length_a 5.308
_cell_length_b 5.308
_cell_length_c 5.308
_cell_angle_alpha 90.00
_cell_angle_beta 90.00
_cell_angle_gamma 90.00
_symmetry_space_group_name_H-M 'P m -3 m'
_symmetry_Int_Tables_number 221
_symmetry_space_group_name_Hall '-P 4 2 3'
loop_
_atom_site_label
_atom_site_fract_x
_atom_site_fract_y
_atom_site_fract_z
_atom_site_occupancy
Ba1 0.000 0.000 0.000 1
Al1 0.500 0.500 0.500 1
Cl1 0.000 0.500 0.500 1
```

Formation energy without anion corrections, meV per atom: -1327.8
Distance to the lowest polymorph of the same formula, kJ per mole of atoms: 1.39
V, Å³ per atom: 29.914
Size of the total moment, μB/cell: 0.00



No. 6
An optimized crystal structure of Hf2BePbI, computed with GGA-PBE.

```
data_Hf2BePbI
_chemical_formula_sum 'Hf2 Be1 Pb1 I1'
_cell_length_a 5.089
_cell_length_b 5.089
_cell_length_c 4.385
_cell_angle_alpha 90.00
_cell_angle_beta 90.00
_cell_angle_gamma 90.00
_symmetry_space_group_name_H-M 'P 4/m m m'
_symmetry_Int_Tables_number 123
_symmetry_space_group_name_Hall '-P 4 2'
loop_
_atom_site_label
_atom_site_fract_x
_atom_site_fract_y
_atom_site_fract_z
_atom_site_occupancy
Hf1 0.000 0.500 0.000 1
Be1 0.000 0.000 0.000 1
Pb1 0.000 0.000 0.500 1
I1 0.500 0.500 0.500 1
```

Formation energy without anion corrections, meV per atom: 605.8
V, Å³ per atom: 22.715
Size of the total moment, μB/cell: 0.00



Number 1: VASP energy -4.94 eV/atom. Number 2: VASP energy -2.88 eV/atom. Number 3: VASP energy -7.90 eV/atom. Number 4: VASP energy -3.43 eV/atom. Number 5: VASP energy -3.57 eV/atom. Number 6: VASP energy -5.17 eV/atom.